Entry 1:
{"formula": "RbAlH", "functional": "PBE-GGA", "state": "optimized geometry", "lattice": [[4.5390, 0.0000, 0.0000], [0.0551, 5.6992, 0.0000], [0.2819, 2.6738, 6.7484]], "species": ["Rb", "Al", "Al", "H", "Rb", "H"], "fractional_positions": [[0.9494, 0.1815, 0.7924], [0.9386, 0.8756, 0.4032], [0.4337, 0.7357, 0.6046], [0.9395, 0.1356, 0.1896], [0.4400, 0.4425, 0.1973], [0.6632, 0.0178, 0.5122]], "spacegroup": "P1", "final_energy_ev_per_atom": -2.64, "polymorph_energy_mev_per_atom": 115, "dos_ef_per_ev_cell": 0.49}

Entry 2:
{"formula": "Rb3Al2H8", "functional": "PBE-GGA", "state": "optimized geometry", "lattice": [[-5.3608, 1.5673, -2.4038], [-3.6482, -4.2667, -2.3365], [-6.1086, -1.7378, 4.7993]], "species": ["H", "H", "Rb", "Al", "Al", "H", "H", "H", "Rb", "Rb", "H", "H", "H"], "fractional_positions": [[0.2824, 0.7511, 0.6842], [0.7176, 0.2489, 0.3158], [0.2088, 0.2088, 0.3736], [0.4237, 0.4237, 0.7289], [0.5763, 0.5763, 0.2711], [0.2489, 0.7176, 0.3158], [0.7176, 0.7176, 0.3158], [0.2824, 0.2824, 0.6842], [0.7912, 0.7912, 0.6264], [0.0000, 0.0000, 0.0000], [0.3456, 0.3456, 0.9632], [0.6544, 0.6544, 0.0368], [0.7511, 0.2824, 0.6842]], "spacegroup": "R-3m", "final_energy_ev_per_atom": -3.00, "dos_ef_per_ev_cell": 2.56}

Entry 3:
{"formula": "Rb2AlH2", "functional": "PBE-GGA", "state": "optimized geometry", "lattice": [[5.5012, 0.0000, 0.0000], [0.0000, 5.5012, 0.0000], [2.7506, 2.7506, 5.2868]], "species": ["Rb", "H", "Rb", "H", "Al"], "fractional_positions": [[0.7500, 0.2500, 0.5000], [0.8047, 0.8047, 0.3906], [0.2500, 0.7500, 0.5000], [0.1953, 0.1953, 0.6094], [0.0000, 0.0000, 0.0000]], "spacegroup": "I4/mmm", "final_energy_ev_per_atom": -2.15, "polymorph_energy_mev_per_atom": 40, "dos_ef_per_ev_cell": 3.58}

Entry 4:
{"formula": "RbAl2H6", "functional": "PBE-GGA", "state": "optimized geometry", "lattice": [[5.2820, 0.2743, 0.2655], [1.8936, 7.1873, 0.5692], [1.8936, 0.8017, 7.1651]], "species": ["Al", "Rb", "H", "H", "Al", "H", "H", "H", "H", "H", "H", "Rb", "Al", "H", "H", "H", "H", "Al"], "fractional_positions": [[0.8452, 0.7894, 0.6957], [0.2500, 0.2205, 0.7795], [0.8270, 0.9789, 0.7746], [0.6730, 0.2254, 0.0211], [0.6548, 0.3043, 0.2106], [0.1730, 0.0211, 0.2254], [0.0632, 0.7386, 0.4982], [0.9368, 0.2614, 0.5018], [0.5632, 0.4982, 0.7386], [0.0052, 0.6241, 0.8539], [0.3270, 0.7746, 0.9789], [0.7500, 0.7795, 0.2205], [0.1548, 0.2106, 0.3043], [0.9948, 0.3759, 0.1461], [0.4948, 0.1461, 0.3759], [0.4368, 0.5018, 0.2614], [0.5052, 0.8539, 0.6241], [0.3452, 0.6957, 0.7894]], "spacegroup": "C2/c", "final_energy_ev_per_atom": -3.16, "polymorph_energy_mev_per_atom": 0, "dos_ef_per_ev_cell": 4.03}

Entry 5:
{"formula": "Rb2AlH4", "functional": "PBE-GGA", "state": "optimized geometry", "lattice": [[-1.3211, 3.5210, -0.7880], [-0.0158, -0.8448, -3.7483], [-8.0256, -4.4357, 3.0028]], "species": ["Al", "H", "Rb", "H", "Rb", "H", "H"], "fractional_positions": [[0.0000, 0.0000, 0.0000], [0.0000, 0.5000, 0.0000], [0.3655, 0.3655, 0.7310], [0.9099, 0.9099, 0.8198], [0.6345, 0.6345, 0.2690], [0.5000, 0.0000, 0.0000], [0.0901, 0.0901, 0.1802]], "spacegroup": "I4/mmm", "final_energy_ev_per_atom": -2.84, "polymorph_energy_mev_per_atom": 0, "dos_ef_per_ev_cell": 0.83}

Entry 6:
{"formula": "RbAl2H8", "functional": "PBE-GGA", "state": "optimized geometry", "lattice": [[-1.7549, -2.7468, -2.5567], [0.5835, -2.6703, 5.8244], [-5.0326, 2.6015, 0.6593]], "species": ["Rb", "H", "H", "H", "H", "H", "H", "Al", "H", "Al", "H"], "fractional_positions": [[0.0000, 0.0000, 0.0000], [0.1122, 0.6211, 0.1466], [0.4910, 0.3789, 0.8534], [0.5090, 0.6211, 0.1466], [0.6154, 0.2308, 0.2233], [0.8039, 0.6078, 0.5679], [0.1961, 0.3922, 0.4321], [0.2506, 0.5012, 0.7188], [0.3846, 0.7692, 0.7767], [0.7494, 0.4988, 0.2812], [0.8878, 0.3789, 0.8534]], "spacegroup": "C2/m", "final_energy_ev_per_atom": -3.10, "polymorph_energy_mev_per_atom": 121, "dos_ef_per_ev_cell": 0.10}

Entry 7:
{"formula": "Rb3Al2H9", "functional": "PBE-GGA", "state": "optimized geometry", "lattice": [[-2.8185, -4.5303, 2.5021], [5.5032, 1.3177, 1.6452], [-5.1226, 8.7709, 10.1100]], "species": ["Rb", "Rb", "H", "Al", "H", "Rb", "H", "H", "Rb", "H", "H", "H", "Al", "H", "H", "Al", "H", "H", "H", "Al", "H", "Rb", "H", "H", "H", "H", "Rb", "H"], "fractional_positions": [[0.6667, 0.3333, 0.5805], [0.3333, 0.6667, 0.4195], [0.6227, 0.8113, 0.6025], [0.3333, 0.6667, 0.8406], [0.0703, 0.5352, 0.7500], [0.3333, 0.6667, 0.0805], [0.8113, 0.1887, 0.3975], [0.1887, 0.8113, 0.6025], [0.0000, 0.0000, 0.2500], [0.1887, 0.3773, 0.8975], [0.4648, 0.5352, 0.7500], [0.5352, 0.4648, 0.2500], [0.3333, 0.6667, 0.6594], [0.6227, 0.8113, 0.8975], [0.8113, 0.1887, 0.1025], [0.6667, 0.3333, 0.3406], [0.3773, 0.1887, 0.3975], [0.8113, 0.6227, 0.3975], [0.9297, 0.4648, 0.2500], [0.6667, 0.3333, 0.1594], [0.4648, 0.9297, 0.7500], [0.6667, 0.3333, 0.9195], [0.1887, 0.8113, 0.8975], [0.8113, 0.6227, 0.1025], [0.5352, 0.0703, 0.2500], [0.3773, 0.1887, 0.1025], [0.0000, 0.0000, 0.7500], [0.1887, 0.3773, 0.6025]], "spacegroup": "P6_3/mmc", "final_energy_ev_per_atom": -3.14, "dos_ef_per_ev_cell": 0.00}

Entry 8:
{"formula": "RbAl2H6", "functional": "PBE-GGA", "state": "optimized geometry", "lattice": [[-3.7223, -3.0940, -2.4420], [1.1251, -5.1698, -1.1826], [-2.4249, -3.9979, 2.7437]], "species": ["H", "H", "H", "Rb", "H", "Al", "Al", "H", "H"], "fractional_positions": [[0.3761, 0.6239, 0.3761], [0.6239, 0.6239, 0.3761], [0.6239, 0.3761, 0.6239], [0.0000, 0.0000, 0.0000], [0.3761, 0.3761, 0.6239], [0.2500, 0.2500, 0.2500], [0.7500, 0.7500, 0.7500], [0.3761, 0.6239, 0.6239], [0.6239, 0.3761, 0.3761]], "spacegroup": "Fm-3m", "final_energy_ev_per_atom": -2.21, "polymorph_energy_mev_per_atom": 950, "dos_ef_per_ev_cell": 2.36}